Material: Li2Ga2Ni15
Method: DFT, GGA-PBE
State: relaxed

Properties
Formation energy from the elements = 0.038 eV per atom
Volume = 12.06 A^3/atom

Cell lengths 6.188, 6.188, 6.188 Å; angles 81.05, 81.05, 81.05 degrees
Fractional coordinates of all 19 atoms:
1 Li 0.096 0.096 0.096
2 Li 0.904 0.904 0.904
3 Ga 0.358 0.358 0.358
4 Ga 0.642 0.642 0.642
5 Ni 0.000 0.000 0.500
6 Ni 0.000 0.334 0.666
7 Ni 0.000 0.500 0.000
8 Ni 0.000 0.666 0.334
9 Ni 0.172 0.663 0.663
10 Ni 0.334 0.000 0.666
11 Ni 0.334 0.666 0.000
12 Ni 0.337 0.337 0.828
13 Ni 0.337 0.828 0.337
14 Ni 0.500 0.000 0.000
15 Ni 0.663 0.172 0.663
16 Ni 0.663 0.663 0.172
17 Ni 0.666 0.000 0.334
18 Ni 0.666 0.334 0.000
19 Ni 0.828 0.337 0.337

***

Material: As2SN
Method: DFT, GGA-PBE
State: relaxed

Properties
Volume = 18.92 A^3/atom
DFT total energy = -0.3487 Ry per atom

Cell lengths 7.156, 7.156, 7.156 Å; angles 139.78, 139.78, 58.18 degrees
Fractional coordinates of all 8 atoms:
1 As 0.032 0.625 0.907
2 As 0.375 0.282 0.407
3 As 0.718 0.125 0.093
4 As 0.875 0.968 0.593
5 S 0.250 0.750 0.500
6 S 0.500 0.500 0.000
7 N 0.000 0.000 0.000
8 N 0.750 0.250 0.500

***

Material: FeRh2WSe
Method: DFT, GGA-PBE
State: relaxed

Properties
Volume = 21.45 A^3/atom
DFT total energy = -0.4929 Ry per atom

Cell lengths 4.758, 4.758, 4.738 Å; angles 90.00, 90.00, 90.00 degrees
Fractional coordinates of all 5 atoms:
1 Fe 0.000 0.000 0.000
2 Rh 0.000 0.500 0.500
3 Rh 0.500 0.000 0.500
4 W 0.500 0.500 0.500
5 Se 0.500 0.500 0.000

***

Material: Ce2SmHo6Tm3
Method: DFT, GGA-PBE
State: relaxed

Properties
Formation energy from the elements = 0.051 eV per atom
Volume = 30.84 A^3/atom

Cell lengths 6.098, 6.098, 11.669 Å; angles 95.00, 95.00, 119.99 degrees
Fractional coordinates of all 12 atoms:
1 Ce 0.167 0.833 0.000
2 Ce 0.833 0.167 0.000
3 Sm 0.500 0.500 0.000
4 Ho 0.080 0.416 0.749
5 Ho 0.249 0.249 0.251
6 Ho 0.416 0.080 0.749
7 Ho 0.584 0.920 0.251
8 Ho 0.751 0.751 0.749
9 Ho 0.920 0.584 0.251
10 Tm 0.000 0.000 0.500
11 Tm 0.334 0.666 0.500
12 Tm 0.666 0.334 0.500

***

Look up the volume of the second one. 18.92 A^3/atom